## FePRh2 (GGA-PBE)

Data for a relaxed structure of FePRh2.

a = 3.754 Å, b = 2.832 Å, c = 5.292 Å
α = 72.87°, β = 90.00°, γ = 90.00°
Each line ends with the local moment (μB).
Sites, in units of the cell vectors:
Rh 0.000 0.870 0.988  0.12
Rh 0.000 0.630 0.512  0.12
Fe 0.500 0.250 0.250  2.80
P 0.500 0.750 0.750  -0.05

Computed properties:
Fermi-level density of states	3.753	states/eV/f.u.
formation energy	-0.21	eV/atom